Record 1
Density functional theory data (PBE) for a relaxed Er3Cu8Hg crystal.

Unit cell a=5.1552 b=5.1552 c=25.4079 alpha=90.00 beta=90.00 gamma=120.00
Last column: nearest neighbours and their distance in Å.
Space group R3m (No. 160, hexagonal axes)
Inequivalent atoms, fractional coordinates:
Er: 0.0000 0.0000 0.0000 x3  12 Cu 2.94-3.12, 3 Hg 3.09, 1 Er 3.23
Er: 0.0000 0.0000 0.1272 x3  12 Cu 2.97-3.09, 4 Er 3.23-3.26
Er: 0.0000 0.0000 0.5128 x3  12 Cu 2.93-3.16, 1 Hg 3.09, 3 Er 3.26
Cu: 0.0000 0.0000 0.3180 x3  6 Cu 2.58-2.61
Cu: 0.0000 0.0000 0.8192 x3  6 Cu 2.57-2.59
Cu: 0.0023 0.5011 0.0693 x9  6 Cu 2.56-2.61
Cu: 0.1700 0.3401 0.9009 x9  6 Cu 2.53-2.63
Hg: 0.0000 0.0000 0.6346 x3  12 Cu 2.98-3.09, 4 Er 3.09

formation energy from the elements: -0.222 eV/atom

=====

Record 2
Density functional theory data (PBE) for a relaxed Tb3Y3Ho crystal.

Unit cell a=9.6026 b=9.6026 c=5.6723 alpha=90.00 beta=90.00 gamma=120.00
Last column: nearest neighbours and their distance in Å.
Space group P6_3/m (No. 176)
Inequivalent atoms, fractional coordinates:
Tb: 0.0486 0.2383 0.2500 x6  5 Y 3.52-3.64, 6 Tb 3.53-3.63, 1 Ho 3.63
Y: 0.0953 0.4752 0.7500 x6  5 Tb 3.52-3.64, 3 Ho 3.53-3.63, 4 Y 3.53-3.63
Ho: 0.3333 0.6667 0.2500 x2  9 Y 3.53-3.63, 3 Tb 3.63

formation energy from the elements: 0.008 eV/atom
polymorph energy (0 for the lowest one): 0.000 eV/f.u.